K3HfZr3S8, relaxed, DFT PBE-GGA; space-group type = C2/m (12); uncorrected formation energy = -1.555 eV/atom
1.0
6.397 -3.700 0.000
6.397 3.700 0.000
-4.256 0.000 7.632
K Hf Zr S
3 1 3 8
direct
0.000 0.000 0.000
0.000 0.500 0.000
0.500 0.000 0.000
0.000 0.000 0.500
0.000 0.500 0.500
0.500 0.000 0.500
0.500 0.500 0.500
0.230 0.230 0.696
0.230 0.736 0.696
0.264 0.770 0.304
0.266 0.266 0.299
0.734 0.734 0.701
0.736 0.230 0.696
0.770 0.264 0.304
0.770 0.770 0.304